19
Lattice="3.993 2.305 4.048 -3.993 2.305 4.048 0.000 -4.610 4.048" Properties=species:S:1:pos:R:3 comment="V2Ni17, relaxed, DFT PBE-GGA" e_form_ev_per_atom=0.127 vol_a3_per_atom=11.767 magnetic_moment_mub_per_atom=0.21 n_ef_per_ev_cell=27.20 pbc="T T T"
V 0.000 0.000 2.367
V 0.000 0.000 9.778
Ni -1.996 -1.153 4.048
Ni 0.000 -2.338 3.899
Ni -2.025 1.169 3.899
Ni -1.253 -2.170 6.073
Ni -2.506 0.000 6.073
Ni -2.025 -1.169 8.246
Ni 0.000 0.000 4.882
Ni -1.996 1.153 8.097
Ni 1.253 -2.170 6.073
Ni 0.000 2.305 4.048
Ni -1.253 2.170 6.073
Ni 0.000 0.000 7.264
Ni 2.025 1.169 3.899
Ni 2.506 0.000 6.073
Ni 1.253 2.170 6.073
Ni 2.025 -1.169 8.246
Ni 0.000 2.338 8.246